A geometry-optimized PaCoPt2O6 structure, computed with PBE with a Hubbard U.

The space group is C2/c (No. 15) and the conventional cell measures 11.866, 9.715 and 5.260 Å, with angles of 90.00, 94.43 and 90.00 degrees. Symmetry generates all atoms from Pa at (0.000, 0.222, 0.250), Co at (0.000, 0.416, 0.750), Pt at (0.245, 0.030, 0.885), O at (0.082, 0.260, 0.576), O at (0.095, 0.421, 0.103) and O at (0.125, 0.042, 0.127).

A geometry-optimized NdBi2WO8 structure, computed with PBE with a Hubbard U.

The space group is Cmmm (No. 65) and the conventional cell measures 7.295, 7.375 and 6.946 Å, with angles of 90.00, 90.00 and 90.00 degrees. Symmetry generates all atoms from Nd at (0.000, 0.000, 0.000), Bi at (0.000, 0.500, 0.256), W at (0.000, 0.000, 0.500), O at (0.000, 0.266, 0.500), O at (0.000, 0.317, 0.000) and O at (0.181, 0.000, 0.290).

Number 1: total energy -6.95 eV/atom, size of the total moment 0.27 μB per atom. Number 2: total energy -6.82 eV/atom, size of the total moment 0.00 μB per atom.